Computed, not measured: a geometry-optimized Ba3VF structure at the PBE+U level of DFT.

Lattice parameters (Å, degrees): 5.6957 5.6957 5.6957 90.00 90.00 90.00
Fractional positions:
F 0.0000 0.0000 0.0000
Ba 0.0000 0.5000 0.0000
Ba 0.0000 0.0000 0.5000
Ba 0.5000 0.0000 0.0000
V 0.5000 0.5000 0.5000

Output
For the magnetization, the calculation gives 3.35 μB/f.u. For the total DFT energy (no corrections), the calculation gives -3.572 eV per atom. The relative energy among the computed polymorphs is 0.000 eV/atom. As for the density of states at the Fermi level: 5.362 states/eV per cell.